This record from Alexandria describes crystalline CrCd2Os at its relaxed geometry. The functional is PBE.

Output
- Fermi-level density of states: 0.61 states/eV per atom
- Energy relative to the lowest polymorph listed for this composition: 0 meV/atom
- Raw total energy: -5.4472 eV per atom

The structure in POSCAR format:
```
CrCd2Os
1.0
-0.030 0.593 -2.859
2.706 -1.066 -0.250
-0.308 -8.324 -1.723
Cd Cr Os
2 1 1
Cartesian
-0.228 -8.143 -1.687
0.485 -2.279 -1.969
1.082 -4.974 -1.043
1.918 -6.421 -2.843
```